Material: Fe5SbP6O24
Method: DFT, PBE+U
State: optimized geometry

The structure in POSCAR format:
```
Fe5SbP6O24
1.0
8.593 0.021 0.015
4.196 7.498 0.015
4.196 2.467 7.081
Fe O P Sb
5 24 6 1
Direct
0.356 0.356 0.356
0.144 0.144 0.144
0.500 0.500 0.500
0.643 0.643 0.643
0.005 0.005 0.005
0.441 0.590 0.241
0.590 0.241 0.441
0.055 0.264 0.911
0.509 0.308 0.114
0.407 0.759 0.562
0.811 0.011 0.615
0.114 0.509 0.308
0.759 0.562 0.407
0.264 0.911 0.055
0.504 0.680 0.888
0.308 0.114 0.509
0.941 0.742 0.085
0.680 0.888 0.504
0.085 0.941 0.742
0.615 0.811 0.011
0.241 0.441 0.590
0.742 0.085 0.941
0.180 0.996 0.389
0.011 0.615 0.811
0.911 0.055 0.264
0.562 0.407 0.759
0.996 0.389 0.180
0.389 0.180 0.996
0.888 0.504 0.680
0.746 0.045 0.455
0.252 0.956 0.539
0.539 0.252 0.956
0.045 0.455 0.746
0.956 0.539 0.252
0.455 0.746 0.045
0.857 0.857 0.857
```

Calculated values
Electronic total energy, eV/atom: -7.04